No. 1
GaBi12O20 | SCAN | PBEsol geometry

Results
**ΔE_f (raw)**: -1.1704 eV per atom
**Crystal system**: cubic
**Space group**: I23

a b c (Å): 8.6844 8.6844 8.6844
angles (deg): 109.47 109.47 109.47
Positions (direct):
1 Ga 0.0000 0.0000 0.0000
2 Bi 0.8554 0.6737 0.1646
3 Bi 0.4909 0.3263 0.1817
4 Bi 0.1446 0.3092 0.8183
5 Bi 0.5091 0.6908 0.8354
6 Bi 0.3092 0.8183 0.1446
7 Bi 0.3263 0.1817 0.4909
8 Bi 0.6908 0.8354 0.5091
9 Bi 0.6737 0.1646 0.8554
10 Bi 0.8354 0.5091 0.6908
11 Bi 0.1817 0.4909 0.3263
12 Bi 0.1646 0.8554 0.6737
13 Bi 0.8183 0.1446 0.3092
14 O 0.7693 0.3807 0.1255
15 O 0.7448 0.6193 0.3886
16 O 0.2307 0.3562 0.6114
17 O 0.2552 0.6438 0.8745
18 O 0.0000 0.2153 0.0000
19 O 0.7847 0.7847 0.7847
20 O 0.0000 0.0000 0.2153
21 O 0.2153 0.0000 0.0000
22 O 0.0000 0.6162 0.0000
23 O 0.3838 0.3838 0.3838
24 O 0.0000 0.0000 0.6162
25 O 0.6162 0.0000 0.0000
26 O 0.6114 0.2307 0.3562
27 O 0.3807 0.1255 0.7693
28 O 0.6438 0.8745 0.2552
29 O 0.6193 0.3886 0.7448
30 O 0.3562 0.6114 0.2307
31 O 0.8745 0.2552 0.6438
32 O 0.3886 0.7448 0.6193
33 O 0.1255 0.7693 0.3807



No. 2
GaBiPO2 | SCAN | PBEsol geometry

Results
**ΔE_f (raw)**: 0.0373 eV per atom
**Crystal system**: tetragonal
**Space group**: P4/mmm

a b c (Å): 4.1184 4.1184 5.4186
angles (deg): 90.00 90.00 90.00
Positions (direct):
1 O 0.0000 0.5000 0.0000
2 O 0.5000 0.0000 0.0000
3 P 0.0000 0.0000 0.5000
4 Bi 0.0000 0.0000 0.0000
5 Ga 0.5000 0.5000 0.5000



No. 3
GaBi3Sb2O11 | SCAN | PBEsol geometry

Results
**ΔE_f (raw)**: -1.5046 eV per atom
**Crystal system**: monoclinic
**Space group**: Pc

a b c (Å): 9.4464 9.5093 9.5197
angles (deg): 90.00 90.11 90.00
Positions (direct):
1 Ga 0.0903 0.2543 0.7452
2 Ga 0.7487 0.7510 0.9148
3 Ga 0.5903 0.7457 0.2452
4 Ga 0.2487 0.2490 0.4148
5 Bi 0.5039 0.9930 0.4883
6 Bi 0.5075 0.5106 0.0031
7 Bi 0.0075 0.4894 0.5031
8 Bi 0.0039 0.0070 0.9883
9 Bi 0.8706 0.3925 0.1234
10 Bi 0.9073 0.1362 0.3775
11 Bi 0.6340 0.0955 0.1270
12 Bi 0.5973 0.3683 0.3712
13 Bi 0.0973 0.6317 0.8712
14 Bi 0.1340 0.9045 0.6270
15 Bi 0.4073 0.8638 0.8775
16 Bi 0.3706 0.6075 0.6234
17 Sb 0.4001 0.2472 0.7454
18 Sb 0.7477 0.7487 0.5972
19 Sb 0.2520 0.9093 0.2534
20 Sb 0.2523 0.5901 0.2528
21 Sb 0.9001 0.7528 0.2454
22 Sb 0.2477 0.2513 0.0972
23 Sb 0.7520 0.0907 0.7534
24 Sb 0.7523 0.4099 0.7528
25 O 0.1081 0.2476 0.2557
26 O 0.3878 0.2540 0.2550
27 O 0.7531 0.2508 0.8909
28 O 0.7509 0.2496 0.6141
29 O 0.7429 0.8914 0.2396
30 O 0.7516 0.6071 0.2380
31 O 0.8878 0.7460 0.7550
32 O 0.6081 0.7524 0.7557
33 O 0.2509 0.7504 0.1141
34 O 0.2531 0.7492 0.3909
35 O 0.2429 0.1086 0.7396
36 O 0.2516 0.3929 0.7380
37 O 0.6530 0.1427 0.3540
38 O 0.6439 0.3460 0.1446
39 O 0.8479 0.3573 0.3537
40 O 0.8586 0.1516 0.1467
41 O 0.3586 0.8484 0.6467
42 O 0.3479 0.6427 0.8537
43 O 0.1439 0.6540 0.6446
44 O 0.1530 0.8573 0.8540
45 O 0.0906 0.2427 0.9593
46 O 0.0810 0.2586 0.5349
47 O 0.4072 0.2510 0.9588
48 O 0.4173 0.2442 0.5356
49 O 0.7544 0.9640 0.9176
50 O 0.7437 0.5360 0.9174
51 O 0.7483 0.9622 0.5895
52 O 0.7458 0.5369 0.5873
53 O 0.0382 0.9146 0.2504
54 O 0.4633 0.9132 0.2568
55 O 0.0381 0.5899 0.2556
56 O 0.4629 0.5810 0.2455
57 O 0.9173 0.7558 0.0356
58 O 0.9072 0.7490 0.4588
59 O 0.5810 0.7414 0.0349
60 O 0.5906 0.7573 0.4593
61 O 0.2483 0.0378 0.0895
62 O 0.2458 0.4631 0.0873
63 O 0.2544 0.0360 0.4176
64 O 0.2437 0.4640 0.4174
65 O 0.9633 0.0868 0.7568
66 O 0.5382 0.0854 0.7504
67 O 0.9629 0.4190 0.7455
68 O 0.5381 0.4101 0.7556